This record from the Alexandria database describes a relaxed Ce3Nb5H12 crystal. The functional is GGA-PBE.

Output
The calculation puts the volume at 221 Å³/f.u. The total magnetic moment comes out at 1.47 μB/f.u. Its calculated total energy is -452.6 eV per cell. The density comes out at 6.73 Mg/m³. As for the space group: Ia-3d (230).

```
data_Ce3Nb5H12
_chemical_formula_sum 'Ce12 Nb20 H48'
_cell_length_a 10.4766
_cell_length_b 10.4766
_cell_length_c 10.4766
_cell_angle_alpha 109.47
_cell_angle_beta 109.47
_cell_angle_gamma 109.47
_space_group_name_H-M_alt 'P 1'
_space_group_IT_number 1
loop_
_space_group_symop_operation_xyz
'x,y,z'
loop_
_atom_site_label
_atom_site_type_symbol
_atom_site_fract_x
_atom_site_fract_y
_atom_site_fract_z
Ce1 Ce 0.7500 0.3750 0.1250
Ce2 Ce 0.8750 0.7500 0.1250
Ce3 Ce 0.3750 0.7500 0.6250
Ce4 Ce 0.2500 0.1250 0.3750
Ce5 Ce 0.8750 0.1250 0.2500
Ce6 Ce 0.3750 0.6250 0.2500
Ce7 Ce 0.6250 0.3750 0.7500
Ce8 Ce 0.1250 0.8750 0.7500
Ce9 Ce 0.7500 0.8750 0.6250
Ce10 Ce 0.6250 0.2500 0.3750
Ce11 Ce 0.1250 0.2500 0.8750
Ce12 Ce 0.2500 0.6250 0.8750
Nb1 Nb 0.1250 0.3750 0.2500
Nb2 Nb 0.0000 0.5000 0.0000
Nb3 Nb 0.0000 0.0000 0.0000
Nb4 Nb 0.3750 0.2500 0.1250
Nb5 Nb 0.5000 0.0000 0.5000
Nb6 Nb 0.5000 0.5000 0.0000
Nb7 Nb 0.1250 0.7500 0.3750
Nb8 Nb 0.7500 0.1250 0.8750
Nb9 Nb 0.7500 0.6250 0.3750
Nb10 Nb 0.3750 0.1250 0.7500
Nb11 Nb 0.6250 0.8750 0.2500
Nb12 Nb 0.5000 0.5000 0.5000
Nb13 Nb 0.5000 0.0000 0.0000
Nb14 Nb 0.0000 0.0000 0.5000
Nb15 Nb 0.2500 0.3750 0.6250
Nb16 Nb 0.2500 0.8750 0.1250
Nb17 Nb 0.0000 0.5000 0.5000
Nb18 Nb 0.8750 0.2500 0.6250
Nb19 Nb 0.6250 0.7500 0.8750
Nb20 Nb 0.8750 0.6250 0.7500
H1 H 0.7088 0.1250 0.0421
H2 H 0.3333 0.5421 0.4171
H3 H 0.9579 0.3750 0.2912
H4 H 0.5421 0.2088 0.1250
H5 H 0.5838 0.7088 0.6667
H6 H 0.9579 0.5829 0.1667
H7 H 0.3333 0.7912 0.4162
H8 H 0.0829 0.9162 0.1250
H9 H 0.5829 0.9579 0.6667
H10 H 0.7088 0.5838 0.1667
H11 H 0.7912 0.4579 0.3750
H12 H 0.8333 0.9171 0.0421
H13 H 0.1250 0.7088 0.5421
H14 H 0.3750 0.4171 0.0838
H15 H 0.0838 0.9171 0.3750
H16 H 0.4162 0.1250 0.5829
H17 H 0.0838 0.1667 0.2088
H18 H 0.4579 0.6667 0.0829
H19 H 0.8333 0.9162 0.2912
H20 H 0.1250 0.4162 0.0829
H21 H 0.3750 0.9579 0.7912
H22 H 0.5829 0.6250 0.4162
H23 H 0.9171 0.8333 0.5421
H24 H 0.7912 0.3333 0.9162
H25 H 0.4171 0.3750 0.5838
H26 H 0.0829 0.1667 0.4579
H27 H 0.2088 0.6667 0.0838
H28 H 0.1667 0.0838 0.7088
H29 H 0.6250 0.0421 0.2088
H30 H 0.8750 0.5838 0.9171
H31 H 0.5421 0.3333 0.9171
H32 H 0.5838 0.8750 0.4171
H33 H 0.9162 0.8333 0.7912
H34 H 0.9162 0.0829 0.6250
H35 H 0.8750 0.2912 0.4579
H36 H 0.1667 0.0829 0.9579
H37 H 0.6250 0.5829 0.9162
H38 H 0.4171 0.0421 0.3333
H39 H 0.2912 0.4162 0.8333
H40 H 0.2088 0.5421 0.6250
H41 H 0.9171 0.0838 0.8750
H42 H 0.6667 0.2088 0.5838
H43 H 0.4579 0.7912 0.8750
H44 H 0.0421 0.4171 0.8333
H45 H 0.4162 0.2912 0.3333
H46 H 0.0421 0.6250 0.7088
H47 H 0.6667 0.4579 0.5829
H48 H 0.2912 0.8750 0.9579
```